# PBE Pa2OsRu, relaxed
# space-group type = P-1
# ΔH_f (0 K) = -372 meV/atom
data_Pa2OsRu
_chemical_formula_sum 'Pa8 Os4 Ru4'
_symmetry_space_group_name_H-M 'P 1'
_symmetry_Int_Tables_number 1
_cell_length_a 6.090
_cell_length_b 6.094
_cell_length_c 11.557
_cell_angle_alpha 67.67
_cell_angle_beta 102.72
_cell_angle_gamma 64.44
loop_
_symmetry_equiv_pos_as_xyz
'x,y,z'
loop_
_atom_site_label
_atom_site_type_symbol
_atom_site_fract_x
_atom_site_fract_y
_atom_site_fract_z
Pa1 Pa 0.750 0.034 0.361
Ru1 Ru 0.796 0.509 0.894
Os1 Os 0.292 0.012 0.891
Ru2 Ru 0.204 0.491 0.106
Pa2 Pa 0.757 0.027 0.861
Pa3 Pa 0.257 0.527 0.361
Os2 Os 0.708 0.988 0.109
Pa4 Pa 0.250 0.966 0.639
Pa5 Pa 0.243 0.973 0.139
Os3 Os 0.208 0.488 0.609
Os4 Os 0.792 0.512 0.391
Pa6 Pa 0.250 0.534 0.861
Pa7 Pa 0.743 0.473 0.639
Ru3 Ru 0.296 0.009 0.394
Ru4 Ru 0.704 0.991 0.606
Pa8 Pa 0.750 0.466 0.139